Entry 1:
# PuFe2P, optimized geometry, DFT PBE
# energy	-9.641	eV/atom
# energy relative to the elements	-0.47	eV per atom
# crystal system	tetragonal
data_PuFe2P
_chemical_formula_sum 'Pu2 Fe4 P2'
_symmetry_space_group_name_H-M 'P 4/n m m'
_symmetry_Int_Tables_number 129
_cell_length_a 3.687
_cell_length_b 3.687
_cell_length_c 8.813
_cell_angle_alpha 90.00
_cell_angle_beta 90.00
_cell_angle_gamma 90.00
loop_
_symmetry_equiv_pos_as_xyz
'x,y,z'
'-x,-y,-z'
'-y+1/2,x,z'
'y+1/2,-x,-z'
'-x+1/2,-y+1/2,z'
'x+1/2,y+1/2,-z'
'y,-x+1/2,z'
'-y,x+1/2,-z'
'x+1/2,-y,-z'
'-x+1/2,y,z'
'-y,-x,-z'
'y,x,z'
'-x,y+1/2,-z'
'x,-y+1/2,z'
'y+1/2,x+1/2,-z'
'-y+1/2,-x+1/2,z'
loop_
_atom_site_label
_atom_site_fract_x
_atom_site_fract_y
_atom_site_fract_z
_atom_site_occupancy
Pu1 0.250 0.250 0.221 1
Fe1 0.250 0.250 0.929 1
Fe2 0.250 0.750 0.500 1
P1 0.250 0.250 0.642 1

Entry 2:
# Tl6Hg2PdSe, optimized geometry, DFT PBE
# uncorrected formation energy	-0.090	eV/atom
# energy	-2.438	eV/atom
# crystal system	triclinic
data_Tl6Hg2PdSe
_chemical_formula_sum 'Tl6 Hg2 Pd1 Se1'
_symmetry_space_group_name_H-M 'P 1'
_symmetry_Int_Tables_number 1
_cell_length_a 6.610
_cell_length_b 6.910
_cell_length_c 6.914
_cell_angle_alpha 90.08
_cell_angle_beta 103.64
_cell_angle_gamma 112.27
loop_
_symmetry_equiv_pos_as_xyz
'x,y,z'
loop_
_atom_site_label
_atom_site_fract_x
_atom_site_fract_y
_atom_site_fract_z
_atom_site_occupancy
Tl1 0.000 0.000 0.000 1
Tl2 0.006 0.857 0.479 1
Tl3 0.520 0.716 0.627 1
Tl4 0.564 0.000 0.228 1
Tl5 0.953 0.346 0.616 1
Tl6 0.984 0.491 0.137 1
Hg1 0.481 0.519 0.049 1
Hg2 0.505 0.172 0.805 1
Pd1 0.219 0.751 0.861 1
Se1 0.371 0.290 0.403 1

Entry 3:
# Pr2P7Pd12, optimized geometry, DFT PBE
# energy	-5.932	eV/atom
# energy relative to the elements	-0.71	eV per atom
# crystal system	trigonal
data_Pr2P7Pd12
_chemical_formula_sum 'Pr2 P7 Pd12'
_symmetry_space_group_name_H-M 'P -3'
_symmetry_Int_Tables_number 147
_cell_length_a 9.7808
_cell_length_b 9.7808
_cell_length_c 4.0911
_cell_angle_alpha 90.00
_cell_angle_beta 90.00
_cell_angle_gamma 120.00
loop_
_symmetry_equiv_pos_as_xyz
'x,y,z'
'-x,-y,-z'
'-y,x-y,z'
'y,-x+y,-z'
'-x+y,-x,z'
'x-y,x,-z'
loop_
_atom_site_label
_atom_site_fract_x
_atom_site_fract_y
_atom_site_fract_z
_atom_site_occupancy
Pr1 0.3333 0.6667 0.2495 1
P1 0.0000 0.0000 0.0000 1
P2 0.1151 0.4105 0.7478 1
Pd1 0.0592 0.6228 0.7524 1
Pd2 0.1034 0.8555 0.2624 1

For the records above, the corresponding total magnetization values read 2.560 0.000 0.000 μB per formula unit.